# 1
ZnSn | the Alexandria database | PBE-GGA | relaxed; ρ = 6.84 Mg/m³; uncorrected energy = -20.3 eV/cell; symmetry = Fddd; V = 22.33 Å³ per atom
1.0
0.000 4.445 5.782
3.476 0.000 5.782
3.476 4.445 0.000
Zn Sn
4 4
Direct
0.058 0.692 0.692
0.308 0.942 0.942
0.692 0.058 0.058
0.942 0.308 0.308
0.173 0.577 0.173
0.423 0.827 0.423
0.577 0.173 0.577
0.827 0.423 0.827

---

# 2
ZnSn | the Alexandria database | PBE-GGA | relaxed; ρ = 6.48 Mg/m³; uncorrected energy = -30.2 eV/cell; symmetry = Pmmn; V = 23.59 Å³ per atom
1.0
4.286 0.000 0.000
0.000 11.405 0.000
0.000 0.000 5.793
Zn Sn
6 6
Direct
0.250 0.027 0.131
0.250 0.250 0.238
0.250 0.473 0.131
0.750 0.527 0.869
0.750 0.750 0.762
0.750 0.973 0.869
0.250 0.098 0.625
0.250 0.402 0.625
0.250 0.750 0.078
0.750 0.250 0.922
0.750 0.598 0.375
0.750 0.902 0.375

---

# 3
ZnSn3 | the Alexandria database | PBE-GGA | relaxed; ρ = 7.04 Mg/m³; uncorrected energy = -12.9 eV/cell; symmetry = Imm2; V = 24.87 Å³ per atom
1.0
-1.679 5.337 2.776
1.679 -5.337 2.776
1.679 5.337 -2.776
Zn Sn
1 3
Direct
0.000 0.000 0.000
0.305 0.584 0.721
0.534 0.034 0.500
0.864 0.584 0.279

---

# 4
ZnSn | the Alexandria database | PBE-GGA | relaxed; ρ = 6.18 Mg/m³; uncorrected energy = -30.0 eV/cell; symmetry = Pmn2_1; V = 24.76 Å³ per atom
1.0
13.388 0.000 0.000
0.000 4.885 0.000
0.000 0.000 4.542
Zn Sn
6 6
Direct
0.000 0.177 0.000
0.245 0.629 0.221
0.255 0.371 0.721
0.500 0.823 0.500
0.745 0.371 0.721
0.755 0.629 0.221
0.000 0.661 0.270
0.154 0.878 0.724
0.346 0.122 0.224
0.500 0.339 0.770
0.654 0.122 0.224
0.846 0.878 0.724

---

Among the records above, which one has the lowest V? number 1